# MgMn2IrO6 (PBE with a Hubbard U, relaxed)
data_MgMn2IrO6
_cell_length_a 5.2368
_cell_length_b 5.1653
_cell_length_c 5.6039
_cell_angle_alpha 61.89
_cell_angle_beta 61.77
_cell_angle_gamma 59.85
_space_group_name_H-M_alt 'P 1'
_space_group_IT_number 1
loop_
_space_group_symop_operation_xyz
'x,y,z'
loop_
_atom_site_label
_atom_site_fract_x
_atom_site_fract_y
_atom_site_fract_z
O1 0.9369 0.6063 0.2458
Ir1 0.3246 0.3206 0.0314
Mg1 0.8099 0.8062 0.5726
Mn1 0.0117 0.0126 0.9616
O2 0.7122 0.1171 0.7559
O3 0.6038 0.2178 0.2422
Mn2 0.5244 0.5239 0.4293
O4 0.2200 0.9343 0.2522
O5 0.4071 0.7186 0.7591
O6 0.1109 0.4043 0.7651
# * ρ: 6.4 g/cm3
# * SG: No. 1
# * electronic total energy: -7.03 eV/atom